4
Lattice="2.3811 1.3748 3.8884 -2.3811 1.3748 3.8884 0.0000 -2.7495 3.8884" Properties=species:S:1:pos:R:3 comment="ScFeHg2 PBE-GGA optimized geometry" ef_ev_per_atom=0.12 rho_g_cm3=10.9 crystal_system=cubic pbc="T T T"
Hg 0.0000 0.0000 5.8326
Hg 0.0000 0.0000 8.7489
Sc 0.0000 0.0000 0.0000
Fe 0.0000 0.0000 2.9163


28
Lattice="-0.4089 6.4022 -10.2022 7.6452 -7.7501 -5.1698 -3.3135 -2.3666 -1.3523" Properties=species:S:1:pos:R:3 comment="BaHg2Cl2O2 PBE-GGA optimized geometry" rho_g_cm3=6.8 crystal_system=tetragonal dft_energy_ev_per_atom=-3.59 pbc="T T T"
Ba 6.3517 -2.6353 -10.9514
Ba 2.4352 2.7094 -10.7085
Ba 0.8847 1.2874 -4.4206
Ba 4.8011 -4.0573 -4.6636
Hg -1.3903 3.4971 -9.5198
Hg 1.4277 -2.3535 -6.1861
Hg 5.3131 -7.2116 -7.2045
Hg 4.2875 -1.6949 -14.3460
Hg 0.6047 -0.0085 -8.2733
Hg -0.3648 -2.0196 -2.3784
Hg 2.4950 -1.3610 -10.5382
Hg 3.3181 -3.7060 -8.4511
O -1.0986 -0.3725 -3.4628
O 3.6842 -3.0930 -10.4211
O -0.2730 2.8909 -11.1966
O 4.1958 -6.6054 -5.5277
O 1.2152 0.2758 -10.2668
O 5.0213 -3.3420 -13.2615
O 2.7076 -3.9904 -6.4576
O 0.2385 -0.6216 -6.3032
Cl 3.6182 -0.6740 -7.6860
Cl 1.0382 2.9696 -7.7407
Cl 2.1658 -5.0584 -3.2611
Cl 4.7967 0.0970 -11.9230
Cl 2.4396 -1.4449 -3.4490
Cl -1.8612 2.0178 -5.7773
Cl 6.1982 -4.3176 -7.6313
Cl 0.0000 0.0000 0.0000


6
Lattice="-0.5256 3.3249 2.2463 -1.8425 -3.4519 1.0329 7.8140 -2.5113 5.5456" Properties=species:S:1:pos:R:3 comment="NdHo2P3 PBE-GGA optimized geometry" rho_g_cm3=6.7 crystal_system=trigonal dft_energy_ev_per_atom=-6.61 pbc="T T T"
Ho 5.1438 -3.2972 6.0841
Ho 0.3021 0.6589 2.7408
P 1.1262 -2.0060 3.2327
P 0.0000 0.0000 0.0000
P 4.3197 -0.6323 5.5921
Nd 3.9070 -1.2556 2.7728


4
Lattice="0.0000 3.6282 3.6282 3.6282 0.0000 3.6282 3.6282 3.6282 0.0000" Properties=species:S:1:pos:R:3 comment="InBi2Ir PBE-GGA optimized geometry" rho_g_cm3=12.6 crystal_system=cubic dft_energy_ev_per_atom=-4.46 pbc="T T T"
In 5.4423 5.4423 5.4423
Bi 1.8141 1.8141 1.8141
Bi 0.0000 0.0000 0.0000
Ir 3.6282 3.6282 3.6282


3
Lattice="0.0000 3.4002 3.4002 3.4002 0.0000 3.4002 3.4002 3.4002 0.0000" Properties=species:S:1:pos:R:3 comment="ThTlRe PBE-GGA optimized geometry" rho_g_cm3=13.2 relative_energy_mev_per_atom=0 crystal_system=cubic pbc="T T T"
Tl 1.7001 1.7001 1.7001
Re 0.0000 0.0000 0.0000
Th 5.1003 5.1003 5.1003


5
Lattice="-1.4489 -3.7170 -1.2661 0.0007 0.9693 4.0717 -10.2069 4.3293 -1.0289" Properties=species:S:1:pos:R:3 comment="TbNdPI2 PBE-GGA optimized geometry" rho_g_cm3=5.8 crystal_system=trigonal dft_energy_ev_per_atom=-5.11 pbc="T T T"
P -0.0749 0.0318 -0.0075
Tb -1.8906 0.0045 2.1505
I -4.2407 -0.7658 0.1830
I -7.3306 2.3119 1.6021
Nd -9.7736 1.5810 -0.3747


16
Lattice="-5.1995 -0.7659 2.6189 2.7176 -1.9492 4.8253 0.8257 10.4783 3.7677" Properties=species:S:1:pos:R:3 comment="PrAgSO PBE-GGA optimized geometry" rho_g_cm3=5.1 crystal_system=monoclinic dft_energy_ev_per_atom=-6.00 pbc="T T T"
O -3.7081 -0.7087 2.3001
O -1.5381 8.7876 8.4812
O -1.1014 -0.3192 0.9849
O 1.0721 9.1748 7.1720
Pr 2.2805 -0.5085 4.3757
Pr -3.5501 7.9944 7.5226
Pr -1.6746 0.0781 3.2613
Pr 0.3994 7.4118 8.6272
Ag 2.8576 5.6794 6.6936
Ag -1.5946 3.5174 6.5651
Ag -0.9072 4.8523 3.1456
Ag -4.0183 1.7283 5.3984
S -1.7585 1.2435 5.9619
S -1.6147 5.7797 7.2346
S -0.5735 7.0044 4.0501
S -1.0816 2.7295 2.1307


18
Lattice="-2.7459 3.6777 -1.7915 -2.7625 0.3733 -4.0625 -23.5635 -10.3172 15.1839" Properties=species:S:1:pos:R:3 comment="Au PBE-GGA optimized geometry" ef_ev_per_atom=0.12 rho_g_cm3=10.9 relative_energy_mev_per_atom=119 crystal_system=monoclinic pbc="T T T"
Au -20.2690 -3.0402 4.5715
Au -22.1530 -4.5020 6.7122
Au -11.1631 -4.2498 6.2651
Au -12.4558 0.3477 -0.4151
Au -12.9551 -5.6716 8.3469
Au -13.5909 -3.3727 5.0065
Au -19.6254 -5.3752 7.9643
Au -11.7975 -1.9413 2.9107
Au -17.1677 -6.2060 9.1552
Au -9.9908 -0.4766 0.7663
Au -15.3884 -4.7929 7.0860
Au -17.8297 -3.9221 5.8368
Au -18.8483 -7.5656 11.1457
Au -10.7671 1.7135 -2.4147
Au -7.4682 -1.3531 2.0232
Au -14.2383 -1.0735 1.6659
Au -16.0339 -2.5017 3.7570
Au -9.3532 -2.8189 4.1698


8
Lattice="7.0957 0.0000 0.0000 0.0000 2.1271 5.5877 0.0000 -2.1271 5.5877" Properties=species:S:1:pos:R:3 comment="LaPrAl4Pd2 PBE-GGA optimized geometry" rho_g_cm3=5.9 crystal_system=orthorhombic dft_energy_ev_per_atom=-5.12 pbc="T T T"
Al 4.9116 0.0000 1.8089
Al 1.3832 0.0000 9.3722
Al 2.1841 0.0000 1.8089
Al 5.7125 0.0000 9.3722
Pd 0.0000 0.0000 3.1494
Pd 3.5478 0.0000 8.0184
La 0.0000 0.0000 6.2322
Pr 3.5478 0.0000 4.9396


3
Lattice="-0.1036 -3.9977 -2.5843 -4.0561 -1.3933 -2.0683 -0.4623 0.2361 -4.7330" Properties=species:S:1:pos:R:3 comment="NbHgSb PBE-GGA optimized geometry" rho_g_cm3=9.0 relative_energy_mev_per_atom=0 crystal_system=cubic pbc="T T T"
Nb -1.1555 -1.2887 -2.3464
Sb 0.0000 0.0000 0.0000
Hg -2.3110 -2.5775 -4.6928


12
Lattice="7.9437 0.0000 0.0000 0.0000 4.2079 0.0000 -2.6119 0.0000 9.8168" Properties=species:S:1:pos:R:3 comment="NdAgPbSe3 PBE-GGA optimized geometry" rho_g_cm3=7.0 relative_energy_mev_per_atom=6 crystal_system=monoclinic pbc="T T T"
Ag 0.4603 1.0520 0.8841
Ag 4.8715 3.1559 8.9327
Se 3.1755 1.0520 9.4129
Se 1.7451 3.1559 6.3120
Se 5.9170 3.1559 6.4921
Se -0.5852 1.0520 3.3247
Se 3.5867 1.0520 3.5048
Se 2.1563 3.1559 0.4039
Nd 1.4773 3.1559 3.3521
Nd 3.8545 1.0520 6.4647
Pb 5.3472 3.1559 1.9545
Pb -0.0154 1.0520 7.8623


6
Lattice="3.2442 1.0664 3.7785 -0.9351 3.9048 3.1333 -1.3430 -0.8787 4.8335" Properties=species:S:1:pos:R:3 comment="PrHoNi4 PBE-GGA optimized geometry" ef_ev_per_atom=-0.37 rho_g_cm3=9.6 relative_energy_mev_per_atom=0 crystal_system=cubic pbc="T T T"
Ni -0.7930 3.0474 8.3833
Ni 0.8466 3.5864 10.2930
Ni 1.5254 4.0305 7.8501
Ni 1.3192 1.6129 8.7094
Ho 0.2415 1.0231 2.9363
Pr 0.4830 2.0462 5.8726